# 1
{
  "formula": "Li3TlH",
  "functional": "PBE",
  "state": "relaxed",
  "lattice_angstrom": [[4.175, 0.000, 0.000], [0.000, 4.175, 0.000], [0.000, 0.000, 4.175]],
  "species": ["Li", "Li", "Li", "Tl", "H"],
  "frac_coords": [[0.000, 0.000, 0.500], [0.000, 0.500, 0.000], [0.500, 0.000, 0.000], [0.500, 0.500, 0.500], [0.000, 0.000, 0.000]],
  "final_energy_ev_per_atom": -2.5308,
  "density_g_cm3": 5.16
}

# 2
{
  "formula": "Li2TlH",
  "functional": "PBE",
  "state": "relaxed",
  "lattice_angstrom": [[1.602, 0.925, 7.126], [-1.602, 0.925, 7.126], [0.000, -1.850, 7.126]],
  "species": ["Li", "Li", "Tl", "H"],
  "frac_coords": [[0.219, 0.219, 0.219], [0.781, 0.781, 0.781], [0.000, 0.000, 0.000], [0.500, 0.500, 0.500]],
  "final_energy_ev_per_atom": -2.5696,
  "density_g_cm3": 5.75
}

# 3
{
  "formula": "Li2YTlH",
  "functional": "PBE",
  "state": "relaxed",
  "lattice_angstrom": [[4.432, 0.000, 0.000], [0.000, 4.432, 0.000], [0.000, 0.000, 4.657]],
  "species": ["Li", "Li", "Y", "Tl", "H"],
  "frac_coords": [[0.000, 0.500, 0.000], [0.500, 0.000, 0.000], [0.000, 0.000, 0.500], [0.500, 0.500, 0.500], [0.000, 0.000, 0.000]],
  "final_energy_ev_per_atom": -3.5017,
  "density_g_cm3": 5.59
}

# 4
{
  "formula": "Li2TlZnH",
  "functional": "PBE",
  "state": "relaxed",
  "lattice_angstrom": [[4.297, 0.000, 0.000], [0.000, 4.297, 0.000], [0.000, 0.000, 3.894]],
  "species": ["Li", "Li", "Tl", "Zn", "H"],
  "frac_coords": [[0.000, 0.500, 0.000], [0.500, 0.000, 0.000], [0.000, 0.000, 0.500], [0.500, 0.500, 0.500], [0.500, 0.500, 0.000]],
  "final_energy_ev_per_atom": -2.2834,
  "density_g_cm3": 6.58
}

# 5
{
  "formula": "LiTmH",
  "functional": "PBE",
  "state": "relaxed",
  "lattice_angstrom": [[3.334, 0.000, 0.000], [-1.667, 2.888, 0.000], [0.000, 0.000, 5.533]],
  "species": ["Li", "Tm", "H"],
  "frac_coords": [[0.000, 0.000, 0.000], [0.667, 0.333, 0.505], [0.333, 0.667, 0.717]],
  "final_energy_ev_per_atom": -3.3215,
  "density_g_cm3": 5.51
}

# 6
{
  "formula": "LiTmH",
  "functional": "PBE",
  "state": "relaxed",
  "lattice_angstrom": [[3.545, 0.000, 0.000], [0.000, 3.545, 0.000], [0.000, 0.000, 8.284]],
  "species": ["Li", "Li", "Tm", "Tm", "H", "H"],
  "frac_coords": [[0.250, 0.250, 0.078], [0.750, 0.750, 0.922], [0.250, 0.250, 0.649], [0.750, 0.750, 0.351], [0.250, 0.750, 0.500], [0.750, 0.250, 0.500]],
  "final_energy_ev_per_atom": -3.5387,
  "density_g_cm3": 5.64
}

# 7
{
  "formula": "LiTmH3",
  "functional": "PBE",
  "state": "relaxed",
  "lattice_angstrom": [[3.519, 0.000, 0.000], [0.000, 3.519, 0.000], [0.000, 0.000, 3.519]],
  "species": ["Li", "Tm", "H", "H", "H"],
  "frac_coords": [[0.000, 0.000, 0.000], [0.500, 0.500, 0.500], [0.000, 0.000, 0.500], [0.000, 0.500, 0.000], [0.500, 0.000, 0.000]],
  "final_energy_ev_per_atom": -3.6483,
  "density_g_cm3": 6.81
}

# 8
{
  "formula": "Li5Tm3H12",
  "functional": "PBE",
  "state": "relaxed",
  "lattice_angstrom": [[-5.839, 5.839, 5.839], [5.839, -5.839, 5.839], [5.839, 5.839, -5.839]],
  "species": ["Li", "Li", "Li", "Li", "Li", "Li", "Li", "Li", "Li", "Li", "Li", "Li", "Li", "Li", "Li", "Li", "Li", "Li", "Li", "Li", "Tm", "Tm", "Tm", "Tm", "Tm", "Tm", "Tm", "Tm", "Tm", "Tm", "Tm", "Tm", "H", "H", "H", "H", "H", "H", "H", "H", "H", "H", "H", "H", "H", "H", "H", "H", "H", "H", "H", "H", "H", "H", "H", "H", "H", "H", "H", "H", "H", "H", "H", "H", "H", "H", "H", "H", "H", "H", "H", "H", "H", "H", "H", "H", "H", "H", "H", "H"],
  "frac_coords": [[0.000, 0.000, 0.000], [0.000, 0.000, 0.500], [0.000, 0.500, 0.000], [0.000, 0.500, 0.500], [0.125, 0.750, 0.875], [0.125, 0.875, 0.250], [0.250, 0.125, 0.875], [0.250, 0.625, 0.375], [0.375, 0.250, 0.625], [0.375, 0.625, 0.750], [0.500, 0.000, 0.000], [0.500, 0.000, 0.500], [0.500, 0.500, 0.000], [0.500, 0.500, 0.500], [0.625, 0.375, 0.250], [0.625, 0.750, 0.375], [0.750, 0.375, 0.625], [0.750, 0.875, 0.125], [0.875, 0.125, 0.750], [0.875, 0.250, 0.125], [0.125, 0.250, 0.375], [0.125, 0.375, 0.750], [0.250, 0.375, 0.125], [0.250, 0.875, 0.625], [0.375, 0.125, 0.250], [0.375, 0.750, 0.125], [0.625, 0.250, 0.875], [0.625, 0.875, 0.750], [0.750, 0.125, 0.375], [0.750, 0.625, 0.875], [0.875, 0.625, 0.250], [0.875, 0.750, 0.625], [0.041, 0.219, 0.132], [0.041, 0.322, 0.909], [0.087, 0.719, 0.678], [0.087, 0.868, 0.409], [0.091, 0.632, 0.413], [0.091, 0.959, 0.678], [0.132, 0.041, 0.219], [0.132, 0.591, 0.913], [0.178, 0.219, 0.587], [0.178, 0.459, 0.591], [0.219, 0.132, 0.041], [0.219, 0.587, 0.178], [0.281, 0.322, 0.913], [0.281, 0.459, 0.368], [0.322, 0.909, 0.041], [0.322, 0.913, 0.281], [0.368, 0.281, 0.459], [0.368, 0.587, 0.909], [0.409, 0.087, 0.868], [0.409, 0.822, 0.541], [0.413, 0.091, 0.632], [0.413, 0.822, 0.781], [0.459, 0.368, 0.281], [0.459, 0.591, 0.178], [0.541, 0.409, 0.822], [0.541, 0.632, 0.719], [0.587, 0.178, 0.219], [0.587, 0.909, 0.368], [0.591, 0.178, 0.459], [0.591, 0.913, 0.132], [0.632, 0.413, 0.091], [0.632, 0.719, 0.541], [0.678, 0.087, 0.719], [0.678, 0.091, 0.959], [0.719, 0.541, 0.632], [0.719, 0.678, 0.087], [0.781, 0.413, 0.822], [0.781, 0.868, 0.959], [0.822, 0.541, 0.409], [0.822, 0.781, 0.413], [0.868, 0.409, 0.087], [0.868, 0.959, 0.781], [0.909, 0.041, 0.322], [0.909, 0.368, 0.587], [0.913, 0.132, 0.591], [0.913, 0.281, 0.322], [0.959, 0.678, 0.091], [0.959, 0.781, 0.868]],
  "final_energy_ev_per_atom": -3.6109,
  "density_g_cm3": 4.62
}

# 9
{
  "formula": "LiUH2",
  "functional": "PBE",
  "state": "relaxed",
  "lattice_angstrom": [[1.478, 0.853, 5.712], [-1.478, 0.853, 5.712], [0.000, -1.707, 5.712]],
  "species": ["Li", "U", "H", "H"],
  "frac_coords": [[0.000, 0.000, 0.000], [0.500, 0.500, 0.500], [0.264, 0.264, 0.264], [0.736, 0.736, 0.736]],
  "final_energy_ev_per_atom": -5.1077,
  "density_g_cm3": 9.49
}

# 10
{
  "formula": "Li5U3H12",
  "functional": "PBE",
  "state": "relaxed",
  "lattice_angstrom": [[-5.914, 5.914, 5.914], [5.914, -5.914, 5.914], [5.914, 5.914, -5.914]],
  "species": ["Li", "Li", "Li", "Li", "Li", "Li", "Li", "Li", "Li", "Li", "Li", "Li", "Li", "Li", "Li", "Li", "Li", "Li", "Li", "Li", "U", "U", "U", "U", "U", "U", "U", "U", "U", "U", "U", "U", "H", "H", "H", "H", "H", "H", "H", "H", "H", "H", "H", "H", "H", "H", "H", "H", "H", "H", "H", "H", "H", "H", "H", "H", "H", "H", "H", "H", "H", "H", "H", "H", "H", "H", "H", "H", "H", "H", "H", "H", "H", "H", "H", "H", "H", "H", "H", "H"],
  "frac_coords": [[0.000, 0.000, 0.000], [0.000, 0.000, 0.500], [0.000, 0.500, 0.000], [0.000, 0.500, 0.500], [0.125, 0.750, 0.875], [0.125, 0.875, 0.250], [0.250, 0.125, 0.875], [0.250, 0.625, 0.375], [0.375, 0.250, 0.625], [0.375, 0.625, 0.750], [0.500, 0.000, 0.000], [0.500, 0.000, 0.500], [0.500, 0.500, 0.000], [0.500, 0.500, 0.500], [0.625, 0.375, 0.250], [0.625, 0.750, 0.375], [0.750, 0.375, 0.625], [0.750, 0.875, 0.125], [0.875, 0.125, 0.750], [0.875, 0.250, 0.125], [0.125, 0.250, 0.375], [0.125, 0.375, 0.750], [0.250, 0.375, 0.125], [0.250, 0.875, 0.625], [0.375, 0.125, 0.250], [0.375, 0.750, 0.125], [0.625, 0.250, 0.875], [0.625, 0.875, 0.750], [0.750, 0.125, 0.375], [0.750, 0.625, 0.875], [0.875, 0.625, 0.250], [0.875, 0.750, 0.625], [0.037, 0.217, 0.128], [0.037, 0.321, 0.909], [0.089, 0.717, 0.679], [0.089, 0.872, 0.409], [0.091, 0.628, 0.411], [0.091, 0.963, 0.679], [0.128, 0.037, 0.217], [0.128, 0.591, 0.911], [0.179, 0.217, 0.589], [0.179, 0.463, 0.591], [0.217, 0.128, 0.037], [0.217, 0.589, 0.179], [0.283, 0.321, 0.911], [0.283, 0.463, 0.372], [0.321, 0.909, 0.037], [0.321, 0.911, 0.283], [0.372, 0.283, 0.463], [0.372, 0.589, 0.909], [0.409, 0.089, 0.872], [0.409, 0.821, 0.537], [0.411, 0.091, 0.628], [0.411, 0.821, 0.783], [0.463, 0.372, 0.283], [0.463, 0.591, 0.179], [0.537, 0.409, 0.821], [0.537, 0.628, 0.717], [0.589, 0.179, 0.217], [0.589, 0.909, 0.372], [0.591, 0.179, 0.463], [0.591, 0.911, 0.128], [0.628, 0.411, 0.091], [0.628, 0.717, 0.537], [0.679, 0.089, 0.717], [0.679, 0.091, 0.963], [0.717, 0.537, 0.628], [0.717, 0.679, 0.089], [0.783, 0.411, 0.821], [0.783, 0.872, 0.963], [0.821, 0.537, 0.409], [0.821, 0.783, 0.411], [0.872, 0.409, 0.089], [0.872, 0.963, 0.783], [0.909, 0.037, 0.321], [0.909, 0.372, 0.589], [0.911, 0.128, 0.591], [0.911, 0.283, 0.321], [0.963, 0.679, 0.091], [0.963, 0.783, 0.872]],
  "final_energy_ev_per_atom": -4.3443,
  "density_g_cm3": 6.11
}

# 11
{
  "formula": "LiV2H",
  "functional": "PBE",
  "state": "relaxed",
  "lattice_angstrom": [[1.481, 0.855, 7.100], [-1.481, 0.855, 7.100], [0.000, -1.710, 7.100]],
  "species": ["Li", "V", "V", "H"],
  "frac_coords": [[0.000, 0.000, 0.000], [0.127, 0.127, 0.127], [0.873, 0.873, 0.873], [0.500, 0.500, 0.500]],
  "final_energy_ev_per_atom": -5.5502,
  "density_g_cm3": 3.38
}

# 12
{
  "formula": "LiV2H",
  "functional": "PBE",
  "state": "relaxed",
  "lattice_angstrom": [[-2.683, 2.683, 3.695], [2.683, -2.683, 3.695], [2.683, 2.683, -3.695]],
  "species": ["Li", "Li", "V", "V", "V", "V", "H", "H"],
  "frac_coords": [[0.000, 0.000, 0.000], [0.750, 0.250, 0.500], [0.330, 0.125, 0.705], [0.375, 0.670, 0.795], [0.420, 0.625, 0.295], [0.875, 0.580, 0.205], [0.250, 0.750, 0.500], [0.500, 0.500, 0.000]],
  "final_energy_ev_per_atom": -5.3902,
  "density_g_cm3": 3.43
}

# 13
{
  "formula": "Li2VH4",
  "functional": "PBE",
  "state": "relaxed",
  "lattice_angstrom": [[-1.756, 1.756, 5.179], [1.756, -1.756, 5.179], [1.756, 1.756, -5.179]],
  "species": ["Li", "Li", "V", "H", "H", "H", "H"],
  "frac_coords": [[0.150, 0.150, 0.000], [0.850, 0.850, 0.000], [0.500, 0.500, 0.000], [0.000, 0.500, 0.500], [0.327, 0.327, 0.000], [0.500, 0.000, 0.500], [0.673, 0.673, 0.000]],
  "final_energy_ev_per_atom": -3.9351,
  "density_g_cm3": 1.79
}

# 14
{
  "formula": "LiVH3",
  "functional": "PBE",
  "state": "relaxed",
  "lattice_angstrom": [[3.542, 0.000, 0.000], [0.000, 3.542, 0.000], [0.000, 0.000, 3.542]],
  "species": ["Li", "V", "H", "H", "H"],
  "frac_coords": [[0.000, 0.000, 0.000], [0.500, 0.500, 0.500], [0.000, 0.500, 0.500], [0.500, 0.000, 0.500], [0.500, 0.500, 0.000]],
  "final_energy_ev_per_atom": -4.2834,
  "density_g_cm3": 2.28
}

# 15
{
  "formula": "Li3VH",
  "functional": "PBE",
  "state": "relaxed",
  "lattice_angstrom": [[4.118, 0.000, 0.000], [0.000, 4.118, 0.000], [0.000, 0.000, 4.118]],
  "species": ["Li", "Li", "Li", "V", "H"],
  "frac_coords": [[0.000, 0.000, 0.500], [0.000, 0.500, 0.000], [0.500, 0.000, 0.000], [0.500, 0.500, 0.500], [0.000, 0.000, 0.000]],
  "final_energy_ev_per_atom": -3.2748,
  "density_g_cm3": 1.73
}

# 16
{
  "formula": "LiVH4",
  "functional": "PBE",
  "state": "relaxed",
  "lattice_angstrom": [[4.729, -2.313, 0.000], [4.729, 2.313, 0.000], [-0.035, 0.000, 4.521]],
  "species": ["Li", "Li", "V", "V", "H", "H", "H", "H", "H", "H", "H", "H"],
  "frac_coords": [[0.232, 0.232, 0.253], [0.768, 0.768, 0.747], [0.472, 0.472, 0.752], [0.528, 0.528, 0.248], [0.179, 0.624, 0.053], [0.212, 0.788, 0.500], [0.294, 0.294, 0.675], [0.376, 0.821, 0.947], [0.624, 0.179, 0.053], [0.706, 0.706, 0.325], [0.788, 0.212, 0.500], [0.821, 0.376, 0.947]],
  "final_energy_ev_per_atom": -4.1400,
  "density_g_cm3": 2.08
}

# 17
{
  "formula": "LiV2H4",
  "functional": "PBE",
  "state": "relaxed",
  "lattice_angstrom": [[-1.547, 1.547, 4.741], [1.547, -1.547, 4.741], [1.547, 1.547, -4.741]],
  "species": ["Li", "V", "V", "H", "H", "H", "H"],
  "frac_coords": [[0.000, 0.000, 0.000], [0.344, 0.344, 0.000], [0.656, 0.656, 0.000], [0.000, 0.500, 0.500], [0.166, 0.166, 0.000], [0.500, 0.000, 0.500], [0.834, 0.834, 0.000]],
  "final_energy_ev_per_atom": -4.7144,
  "density_g_cm3": 4.13
}

# 18
{
  "formula": "LiV2H4",
  "functional": "PBE",
  "state": "relaxed",
  "lattice_angstrom": [[0.000, 3.811, 3.829], [3.805, 0.000, 3.829], [3.805, 3.811, 0.000]],
  "species": ["Li", "Li", "V", "V", "V", "V", "H", "H", "H", "H", "H", "H", "H", "H"],
  "frac_coords": [[0.125, 0.125, 0.125], [0.875, 0.875, 0.875], [0.000, 0.500, 0.500], [0.500, 0.000, 0.500], [0.500, 0.500, 0.000], [0.500, 0.500, 0.500], [0.258, 0.721, 0.261], [0.260, 0.261, 0.721], [0.261, 0.260, 0.258], [0.279, 0.742, 0.740], [0.721, 0.258, 0.260], [0.739, 0.740, 0.742], [0.740, 0.739, 0.279], [0.742, 0.279, 0.739]],
  "final_energy_ev_per_atom": -4.9826,
  "density_g_cm3": 3.38
}

# 19
{
  "formula": "LiVH3",
  "functional": "PBE",
  "state": "relaxed",
  "lattice_angstrom": [[3.203, 0.000, 0.000], [0.000, 3.203, 0.000], [0.000, 0.000, 3.203]],
  "species": ["Li", "V", "H", "H", "H"],
  "frac_coords": [[0.000, 0.000, 0.000], [0.500, 0.500, 0.500], [0.000, 0.000, 0.500], [0.000, 0.500, 0.000], [0.500, 0.000, 0.000]],
  "final_energy_ev_per_atom": -4.0679,
  "density_g_cm3": 3.08
}